*w*
# CrSi2Mo

An optimized crystal structure of CrSi2Mo (PBE-GGA, the Alexandria database).

The structure in extended XYZ format:
```
4
Lattice="4.700 0.013 0.014 1.564 4.432 -0.014 -2.619 -2.945 2.561" Properties=species:S:1:pos:R:3 pbc="T T T"
Cr 2.606 -0.355 1.287
Si 3.188 2.262 0.000
Mo 1.039 1.855 1.273
Si 6.209 4.405 0.000
```

***

*x*
# CrSi2Mo

An optimized crystal structure of CrSi2Mo (PBE-GGA, the Alexandria database).

The structure in extended XYZ format:
```
8
Lattice="6.576 0.000 0.000 0.000 6.576 0.000 3.288 3.288 2.737" Properties=species:S:1:pos:R:3 pbc="T T T"
Mo 6.576 3.288 1.369
Mo 0.000 0.000 0.000
Si 4.843 1.644 0.684
Si 1.734 4.932 0.684
Cr 3.288 3.288 0.000
Cr 3.288 6.576 1.369
Si 4.932 5.022 2.053
Si 8.220 8.131 2.053
```

***

Most stable pick: *w*. Distance to second place: 390 meV per atom.

***

*w*
# CrSi2Mo

An optimized crystal structure of CrSi2Mo (PBE-GGA, the Alexandria database).

The structure in extended XYZ format:
```
4
Lattice="2.646 -0.003 0.000 -0.719 2.546 0.000 0.000 0.000 8.179" Properties=species:S:1:pos:R:3 pbc="T T T"
Cr 0.000 0.000 4.007
Si 0.963 1.272 2.188
Si 0.000 0.000 8.149
Mo 0.963 1.272 6.104
```

***

*x*
# CrSi2Mo

An optimized crystal structure of CrSi2Mo (PBE-GGA, the Alexandria database).

The structure in extended XYZ format:
```
4
Lattice="4.223 0.000 0.000 2.112 3.657 0.000 2.112 1.219 3.448" Properties=species:S:1:pos:R:3 pbc="T T T"
Mo 6.335 3.657 2.586
Si 2.112 1.219 0.862
Cr 4.223 2.438 1.724
Si 0.000 0.000 0.000
```

***

*y*
# CrSi2Mo

An optimized crystal structure of CrSi2Mo (PBE-GGA, the Alexandria database).

The structure in extended XYZ format:
```
4
Lattice="-0.444 -7.956 0.835 0.734 -7.244 3.343 -2.105 -7.121 3.010" Properties=species:S:1:pos:R:3 pbc="T T T"
Mo -1.366 -16.800 5.410
Si -0.445 -5.469 1.761
Cr -0.911 -11.196 3.606
Si -0.001 -0.016 0.005
```

***

Most stable pick: *y*. Distance to second place: 30 meV per atom.

***

*w*
# CrSi2Mo

An optimized crystal structure of CrSi2Mo (PBE-GGA, the Alexandria database).

The structure in extended XYZ format:
```
4
Lattice="-4.038 0.000 0.174 0.105 -1.723 2.450 0.161 2.738 3.750" Properties=species:S:1:pos:R:3 pbc="T T T"
Si -1.966 0.763 1.308
Mo -1.802 0.998 5.133
Cr 0.116 0.252 2.692
Si 0.176 2.247 4.093
```

***

*x*
# CrSi2Mo

An optimized crystal structure of CrSi2Mo (PBE-GGA, the Alexandria database).

The structure in extended XYZ format:
```
4
Lattice="-2.565 -1.274 0.556 1.372 -2.506 0.591 0.457 1.628 5.846" Properties=species:S:1:pos:R:3 pbc="T T T"
Si 0.214 0.763 2.739
Mo -0.253 -0.669 4.957
Si 0.014 0.051 0.184
Cr -0.482 -1.483 2.035
```

***

*y*
# CrSi2Mo

An optimized crystal structure of CrSi2Mo (PBE-GGA, the Alexandria database).

The structure in extended XYZ format:
```
4
Lattice="4.684 0.025 0.004 -1.555 4.419 0.004 0.518 0.736 2.624" Properties=species:S:1:pos:R:3 pbc="T T T"
Mo -0.518 2.578 1.314
Cr 2.601 0.380 1.314
Si 0.000 0.000 0.000
Si 1.565 2.222 0.004
```

***

*z*
# CrSi2Mo

An optimized crystal structure of CrSi2Mo (PBE-GGA, the Alexandria database).

The structure in extended XYZ format:
```
4
Lattice="-1.308 1.458 1.757 -1.925 -1.793 0.054 3.744 -3.842 5.977" Properties=species:S:1:pos:R:3 pbc="T T T"
Si 3.723 -3.820 5.944
Cr 1.821 -1.868 2.907
Si -0.591 -1.220 2.543
Mo 1.173 -3.030 5.359
```

***

Most stable pick: *w*. Distance to second place: 139 meV per atom.

***

*w*
# CrSi3Mo

An optimized crystal structure of CrSi3Mo (PBE-GGA, the Alexandria database).

The structure in extended XYZ format:
```
5
Lattice="-0.670 -2.081 -3.833 1.747 -3.681 1.693 -3.996 -1.260 1.383" Properties=species:S:1:pos:R:3 pbc="T T T"
Si -0.335 -1.040 -1.916
Si -1.998 -0.630 0.691
Si 0.873 -1.840 0.846
Mo -1.460 -3.511 -0.378
Cr 0.000 0.000 0.000
```

***

*x*
# CrSi3Mo

An optimized crystal structure of CrSi3Mo (PBE-GGA, the Alexandria database).

The structure in extended XYZ format:
```
5
Lattice="-1.871 3.522 -2.413 -2.764 1.008 3.615 3.253 2.882 1.684" Properties=species:S:1:pos:R:3 pbc="T T T"
Mo 0.000 0.000 0.000
Cr -0.691 3.706 1.443
Si -0.935 1.761 -1.206
Si 1.627 1.441 0.842
Si -1.382 0.504 1.807
```

***

Most stable pick: *w*. Distance to second place: 456 meV per atom.

***

*w*
# Cr3SnMo

An optimized crystal structure of Cr3SnMo (PBE-GGA, the Alexandria database).

The structure in extended XYZ format:
```
5
Lattice="4.991 0.000 0.000 0.000 4.991 0.000 0.000 0.000 4.991" Properties=species:S:1:pos:R:3 pbc="T T T"
Sn 0.000 0.000 0.000
Cr 0.000 0.000 2.496
Cr 0.000 2.496 0.000
Cr 2.496 0.000 0.000
Mo 2.496 2.496 2.496
```

***

*x*
# Cr3SnMo

An optimized crystal structure of Cr3SnMo (PBE-GGA, the Alexandria database).

The structure in extended XYZ format:
```
5
Lattice="-1.967 -4.130 0.998 4.025 -2.163 -1.019 1.359 0.430 4.459" Properties=species:S:1:pos:R:3 pbc="T T T"
Sn 1.709 -2.931 2.219
Cr 2.013 -1.081 -0.509
Cr -0.983 -2.065 0.499
Mo 0.000 0.000 0.000
Cr 0.680 0.215 2.230
```

***

Most stable pick: *x*. Distance to second place: 590 meV per atom.

***

*w*
# SrCr2Mo

An optimized crystal structure of SrCr2Mo (PBE-GGA, the Alexandria database).

The structure in extended XYZ format:
```
4
Lattice="4.922 -0.695 -0.478 1.154 4.835 0.478 -2.357 -3.070 3.156" Properties=species:S:1:pos:R:3 pbc="T T T"
Mo 2.801 -0.847 1.339
Sr 0.918 1.918 1.817
Cr 5.826 3.970 0.000
Cr 3.287 2.240 0.000
```

***

*x*
# SrCr2Mo

An optimized crystal structure of SrCr2Mo (PBE-GGA, the Alexandria database).

The structure in extended XYZ format:
```
4
Lattice="3.384 0.000 0.000 0.000 3.380 0.000 0.000 0.000 7.077" Properties=species:S:1:pos:R:3 pbc="T T T"
Cr 0.000 0.000 0.751
Sr 1.692 1.690 5.308
Mo 1.692 1.690 1.769
Cr 0.000 0.000 2.788
```

***

Most stable pick: *x*. Distance to second place: 311 meV per atom.

***

*w*
# SrCr2Mo

An optimized crystal structure of SrCr2Mo (PBE-GGA, the Alexandria database).

The structure in extended XYZ format:
```
8
Lattice="5.124 0.000 0.000 0.000 5.124 0.000 2.562 2.562 8.035" Properties=species:S:1:pos:R:3 pbc="T T T"
Mo 0.000 0.000 0.000
Cr 3.843 2.563 6.026
Cr 5.124 1.281 2.009
Cr 6.406 2.562 6.026
Cr 5.125 3.843 2.009
Sr 2.562 5.124 4.017
Mo 5.124 2.562 4.017
Sr 2.562 2.562 0.000
```

***

*x*
# SrCr2Mo

An optimized crystal structure of SrCr2Mo (PBE-GGA, the Alexandria database).

The structure in extended XYZ format:
```
4
Lattice="-4.163 3.329 -0.521 -4.571 -2.602 1.010 4.595 0.387 2.723" Properties=species:S:1:pos:R:3 pbc="T T T"
Cr 0.000 0.000 0.000
Mo -4.367 0.364 0.244
Sr -1.967 2.040 1.223
Cr -2.171 -0.926 1.989
```

***

*y*
# SrCr2Mo

An optimized crystal structure of SrCr2Mo (PBE-GGA, the Alexandria database).

The structure in extended XYZ format:
```
4
Lattice="-1.826 0.251 -3.184 0.801 -2.848 -0.683 -5.274 -4.330 2.683" Properties=species:S:1:pos:R:3 pbc="T T T"
Sr -4.292 -5.472 -0.095
Cr 0.250 -3.227 -0.397
Cr -2.014 -1.467 -1.086
Mo -1.679 -3.197 0.711
```

***

*z*
# SrCr2Mo

An optimized crystal structure of SrCr2Mo (PBE-GGA, the Alexandria database).

The structure in extended XYZ format:
```
4
Lattice="-3.864 -4.218 -0.749 -1.138 -1.646 -5.411 3.687 0.528 4.405" Properties=species:S:1:pos:R:3 pbc="T T T"
Cr -4.800 -5.626 -5.911
Mo -2.683 -3.146 -3.304
Cr -1.382 -3.362 0.235
Sr 0.047 -1.998 -2.015
```

***

Most stable pick: *y*. Distance to second place: 269 meV per atom.

***

*w*
# SrCr2Mo

An optimized crystal structure of SrCr2Mo (PBE-GGA, the Alexandria database).

The structure in extended XYZ format:
```
4
Lattice="9.287 -0.024 -0.014 8.739 3.142 -0.014 8.739 1.512 2.755" Properties=species:S:1:pos:R:3 pbc="T T T"
Mo 6.692 1.158 0.682
Sr 20.075 3.473 2.045
Cr 13.870 2.400 1.413
Cr 26.280 4.547 2.677
```

***

*x*
# SrCr2Mo

An optimized crystal structure of SrCr2Mo (PBE-GGA, the Alexandria database).

The structure in extended XYZ format:
```
4
Lattice="-0.020 -4.496 0.863 0.029 -1.501 4.325 -3.735 -1.976 1.762" Properties=species:S:1:pos:R:3 pbc="T T T"
Sr 0.000 0.000 0.000
Cr -2.794 -5.980 5.213
Cr -0.931 -1.993 1.738
Mo -1.863 -3.987 3.475
```

***

Most stable pick: *w*. Distance to second place: 272 meV per atom.

***

*w*
# SrCr2Mo

An optimized crystal structure of SrCr2Mo (PBE-GGA, the Alexandria database).

The structure in extended XYZ format:
```
4
Lattice="4.039 0.000 0.000 0.000 2.976 -0.001 0.000 1.353 6.687" Properties=species:S:1:pos:R:3 pbc="T T T"
Cr 0.000 2.966 0.733
Mo 2.020 1.082 1.671
Cr 0.000 2.174 2.608
Sr 2.020 3.247 5.014
```

***

*x*
# SrCr2Mo

An optimized crystal structure of SrCr2Mo (PBE-GGA, the Alexandria database).

The structure in extended XYZ format:
```
4
Lattice="-0.831 -2.355 -1.317 2.701 0.555 -0.606 2.669 -5.024 7.299" Properties=species:S:1:pos:R:3 pbc="T T T"
Sr 2.937 -4.668 4.513
Cr 0.118 -0.223 0.324
Cr 1.216 -2.289 3.326
Mo 1.602 -2.156 0.863
```

***

Most stable pick: *w*. Distance to second place: 261 meV per atom.

***

*w*
# SrCr2Mo

An optimized crystal structure of SrCr2Mo (PBE-GGA, the Alexandria database).

The structure in extended XYZ format:
```
4
Lattice="-0.606 4.647 0.946 -2.429 3.843 -1.479 -4.842 -0.095 3.671" Properties=species:S:1:pos:R:3 pbc="T T T"
Cr -3.606 8.198 -0.007
Cr -3.368 4.488 1.043
Sr -5.908 6.296 2.354
Mo -1.969 2.099 0.785
```

***

*x*
# SrCr2Mo

An optimized crystal structure of SrCr2Mo (PBE-GGA, the Alexandria database).

The structure in extended XYZ format:
```
4
Lattice="-0.621 -2.498 -4.016 -2.539 -4.037 0.071 -4.293 -0.154 -2.073" Properties=species:S:1:pos:R:3 pbc="T T T"
Sr -5.590 -5.017 -4.513
Cr 0.000 0.000 0.000
Mo -3.727 -3.345 -3.009
Cr -1.863 -1.672 -1.504
```

***

Most stable pick: *w*. Distance to second place: 290 meV per atom.

***

*w*
# SrCr2Mo

An optimized crystal structure of SrCr2Mo (PBE-GGA, the Alexandria database).

The structure in extended XYZ format:
```
4
Lattice="3.070 0.000 0.000 0.000 3.070 0.000 0.000 0.000 7.987" Properties=species:S:1:pos:R:3 pbc="T T T"
Sr 1.535 1.535 5.988
Mo 0.000 0.000 3.383
Cr 0.000 0.000 0.651
Cr 1.535 1.535 1.959
```

***

*x*
# SrCr2Mo

An optimized crystal structure of SrCr2Mo (PBE-GGA, the Alexandria database).

The structure in extended XYZ format:
```
4
Lattice="-3.065 -0.097 1.729 -2.055 -2.476 -3.782 1.202 -3.917 1.912" Properties=species:S:1:pos:R:3 pbc="T T T"
Sr -0.426 -3.197 -0.935
Cr -2.560 -1.287 -1.027
Cr 0.000 0.000 0.000
Mo -0.931 -2.007 1.820
```

***

*y*
# SrCr2Mo

An optimized crystal structure of SrCr2Mo (PBE-GGA, the Alexandria database).

The structure in extended XYZ format:
```
4
Lattice="-2.858 1.223 -3.049 -1.685 -2.498 -3.143 -5.800 -1.872 1.665" Properties=species:S:1:pos:R:3 pbc="T T T"
Cr -2.512 -0.761 -1.220
Cr -5.290 -1.529 -5.488
Sr -7.773 -2.367 -3.339
Mo -4.482 -1.339 -2.934
```

***

*z*
# SrCr2Mo

An optimized crystal structure of SrCr2Mo (PBE-GGA, the Alexandria database).

The structure in extended XYZ format:
```
4
Lattice="-4.111 1.567 1.958 -1.200 -4.642 0.447 1.402 -0.073 3.003" Properties=species:S:1:pos:R:3 pbc="T T T"
Cr -2.655 -1.538 1.202
Mo -1.354 0.747 2.480
Cr 0.000 0.000 0.000
Sr 0.101 -2.358 1.725
```

***

Most stable pick: *y*. Distance to second place: 5 meV per atom.